Version one
Entry from Alexandria via LeMat-Bulk: an optimized crystal structure of DyTiSe2 (PBE).

## Properties
- D(E_F): 4.5 states/eV per cell
- V: 21.20 Å³/atom

a b c (Å): 3.971 3.971 6.619
angles (deg): 72.55 72.55 60.00
Last column: magnetic moment on the atom in μB.
Positions (direct):
1 Ti 0.000 0.000 0.000  1.03
2 Se 0.742 0.742 0.775  -0.01
3 Se 0.258 0.258 0.225  -0.01
4 Dy 0.500 0.500 0.500  -0.08


Version two
Entry from Alexandria via LeMat-Bulk: an optimized crystal structure of DyTiSe2 (PBE).

## Properties
- D(E_F): 2.8 states/eV per cell
- V: 21.22 Å³/atom

a b c (Å): 3.812 3.812 7.096
angles (deg): 74.42 74.42 60.00
Last column: magnetic moment on the atom in μB.
Positions (direct):
1 Dy 0.497 0.497 0.509  -0.10
2 Ti 0.672 0.672 0.985  0.96
3 Se 0.258 0.258 0.226  -0.01
4 Se 0.073 0.073 0.780  -0.01


version two is preferred energetically. Next in line: 27 meV per atom higher.


Version one
Entry from Alexandria via LeMat-Bulk: an optimized crystal structure of Dy4TlSe2 (PBE).

## Properties
- D(E_F): 5.8 states/eV per cell
- V: 27.37 Å³/atom

a b c (Å): 3.899 3.899 14.724
angles (deg): 82.39 82.39 60.00
Last column: magnetic moment on the atom in μB.
Positions (direct):
1 Dy 0.719 0.719 0.843  -0.01
2 Dy 0.281 0.281 0.157  -0.01
3 Dy 0.866 0.866 0.403  0.22
4 Dy 0.134 0.134 0.597  0.22
5 Se 0.574 0.574 0.277  0.00
6 Se 0.426 0.426 0.723  0.00
7 Tl 0.000 0.000 0.000  0.01


Version two
Entry from Alexandria via LeMat-Bulk: an optimized crystal structure of Dy4TlSe2 (PBE).

## Properties
- D(E_F): 9.8 states/eV per cell
- V: 27.13 Å³/atom

a b c (Å): 4.060 7.021 13.916
angles (deg): 90.00 90.00 106.81
Positions (direct):
1 Dy 0.500 0.000 0.500
2 Dy 0.500 0.000 0.000
3 Dy 0.070 0.140 0.250
4 Dy 0.769 0.539 0.122
5 Dy 0.769 0.539 0.378
6 Dy 0.231 0.461 0.878
7 Dy 0.231 0.461 0.622
8 Dy 0.930 0.860 0.750
9 Se 0.136 0.272 0.442
10 Se 0.864 0.728 0.942
11 Se 0.864 0.728 0.558
12 Se 0.136 0.272 0.058
13 Tl 0.605 0.210 0.750
14 Tl 0.395 0.790 0.250


version two is preferred energetically. Next in line: 51 meV per atom higher.